EuZn3Ni | PBE-GGA | optimized geometry

Values from the calculation:
Symmetry   Pm-3m (221)
Calculated density   6.74 g cm⁻³
Calculated formation energy   -204 meV/atom

Cell and atoms, written as POSCAR:
```
EuZn3Ni
1.0
4.646 0.000 0.000
0.000 4.646 0.000
0.000 0.000 4.646
Zn Eu Ni
3 1 1
Direct
0.000 0.000 0.500 Zn
0.000 0.500 0.000 Zn
0.500 0.000 0.000 Zn
0.500 0.500 0.500 Eu
0.000 0.000 0.000 Ni
```